! Rb4YNp3Se8 | Alexandria | PBE | optimized geometry; values from VASP
! - energy relative to the elements, uncorrected (meV per atom) = -1359.6
! - D(E_F) (states/eV per cell) = 25.38
! - total magnetic moment (μB/cell) = 12.0
! - DFT total energy (eV/atom) = -6.17
&SYSTEM
  ibrav = 0, nat = 16, ntyp = 4
/
ATOMIC_SPECIES
Se 78.96 Se.upf
Rb 85.47 Rb.upf
Np 237.00 Np.upf
Y 88.91 Y.upf
ATOMIC_POSITIONS crystal
Se 0.7345 0.6961 0.9654
Se 0.2309 0.6961 0.9654
Rb 0.5000 0.0000 0.5000
Rb 0.0000 0.0000 0.0000
Np 0.0000 0.5000 0.5000
Se 0.2307 0.6962 0.4613
Se 0.2687 0.3061 0.5373
Rb 0.5000 0.0000 0.0000
Np 0.5000 0.5000 0.5000
Rb 0.0000 0.0000 0.5000
Se 0.7691 0.3039 0.0346
Np 0.5000 0.5000 0.0000
Se 0.7313 0.6939 0.4627
Y 0.0000 0.5000 0.0000
Se 0.7693 0.3038 0.5387
Se 0.2655 0.3039 0.0346
CELL_PARAMETERS angstrom
8.5896 0.0000 0.0000
0.0000 9.3797 0.5523
-4.2948 -4.2904 6.0761


! Tl2Cd2Ni | Alexandria | PBE | optimized geometry; values from VASP
! - D(E_F) (states/eV per cell) = 5.18
! - total magnetic moment (μB/cell) = 0.0
! - DFT total energy (eV/atom) = -2.19
&SYSTEM
  ibrav = 0, nat = 10, ntyp = 3
/
ATOMIC_SPECIES
Tl 204.38 Tl.upf
Cd 112.41 Cd.upf
Ni 58.69 Ni.upf
ATOMIC_POSITIONS crystal
Tl 0.1754 0.6754 0.5000
Cd 0.8429 0.6571 0.0000
Cd 0.1571 0.3429 0.0000
Tl 0.8246 0.3246 0.5000
Cd 0.6571 0.1571 0.0000
Ni 0.0000 0.0000 0.0000
Tl 0.3246 0.1754 0.5000
Tl 0.6754 0.8246 0.5000
Ni 0.5000 0.5000 0.0000
Cd 0.3429 0.8429 0.0000
CELL_PARAMETERS angstrom
6.8865 0.0000 0.0000
0.0000 6.8865 0.0000
0.0000 0.0000 5.3220


! ZrInFe2 | Alexandria | PBE | optimized geometry; values from VASP
! - D(E_F) (states/eV per cell) = 3.86
! - total magnetic moment (μB/cell) = 2.3
! - DFT total energy (eV/atom) = -7.01
&SYSTEM
  ibrav = 0, nat = 4, ntyp = 3
/
ATOMIC_SPECIES
Zr 91.22 Zr.upf
In 114.82 In.upf
Fe 55.84 Fe.upf
ATOMIC_POSITIONS crystal
Zr 0.5000 0.7683 0.8380
In 0.0000 0.4755 0.4245
Fe 0.0000 0.1924 0.9893
Fe 0.5000 0.0637 0.2482
CELL_PARAMETERS angstrom
3.6950 0.0000 0.0000
0.0000 3.8568 -0.0581
0.0000 2.0014 4.7279


! RuCSeN | Alexandria | PBE | optimized geometry; values from VASP
! - energy relative to the elements, uncorrected (meV per atom) = 275.8
! - D(E_F) (states/eV per cell) = 1.60
! - offset from the most stable computed form (eV/f.u.) = 0.06
! - total magnetic moment (μB/cell) = 0.0
! - DFT total energy (eV/atom) = -7.30
&SYSTEM
  ibrav = 0, nat = 4, ntyp = 4
/
ATOMIC_SPECIES
C 12.01 C.upf
N 14.01 N.upf
Ru 101.07 Ru.upf
Se 78.96 Se.upf
ATOMIC_POSITIONS crystal
C 0.0000 0.5000 0.8243
N 0.0000 0.5000 0.1053
Ru 0.0000 0.0000 0.4668
Se 0.5000 0.0000 0.3819
CELL_PARAMETERS angstrom
4.9509 0.0000 0.0000
0.0000 2.7621 0.0000
0.0000 0.0000 4.3511


! CoAg2Cl | Alexandria | PBE | optimized geometry; values from VASP
! - energy relative to the elements, uncorrected (meV per atom) = 566.3
! - D(E_F) (states/eV per cell) = 3.78
! - offset from the most stable computed form (eV/f.u.) = 1.75
! - total magnetic moment (μB/cell) = 1.8
! - DFT total energy (eV/atom) = -3.10
&SYSTEM
  ibrav = 0, nat = 4, ntyp = 3
/
ATOMIC_SPECIES
Co 58.93 Co.upf
Ag 107.87 Ag.upf
Cl 35.45 Cl.upf
ATOMIC_POSITIONS crystal
Co 0.7500 0.2500 0.5000
Ag 0.2500 0.7500 0.5000
Ag 0.0000 0.0000 0.0000
Cl 0.5000 0.5000 0.0000
CELL_PARAMETERS angstrom
5.0524 0.0007 0.0000
1.6876 4.7622 0.0000
-3.3700 -2.3815 2.9152


! TlGaSb2 | Alexandria | PBE | optimized geometry; values from VASP
! - energy relative to the elements, uncorrected (meV per atom) = 94.8
! - D(E_F) (states/eV per cell) = 2.15
! - offset from the most stable computed form (eV/f.u.) = 0.42
! - total magnetic moment (μB/cell) = 0.0
! - DFT total energy (eV/atom) = -3.31
&SYSTEM
  ibrav = 0, nat = 4, ntyp = 3
/
ATOMIC_SPECIES
Tl 204.38 Tl.upf
Ga 69.72 Ga.upf
Sb 121.76 Sb.upf
ATOMIC_POSITIONS crystal
Tl 0.5000 0.5000 0.5000
Ga 0.5000 0.5000 0.0000
Sb 0.0000 0.0000 0.8006
Sb 0.0000 0.0000 0.1994
CELL_PARAMETERS angstrom
3.8082 0.0000 0.0000
0.0000 3.8082 0.0000
0.0000 0.0000 7.5249


! KMo2Pt | Alexandria | PBE | optimized geometry; values from VASP
! - D(E_F) (states/eV per cell) = 3.92
! - offset from the most stable computed form (eV/f.u.) = 0.38
! - total magnetic moment (μB/cell) = 0.0
! - DFT total energy (eV/atom) = -6.70
&SYSTEM
  ibrav = 0, nat = 4, ntyp = 3
/
ATOMIC_SPECIES
Pt 195.08 Pt.upf
Mo 95.94 Mo.upf
K 39.10 K.upf
ATOMIC_POSITIONS crystal
Pt 0.0000 0.0000 0.4375
Mo 0.5000 0.5000 0.2446
K 0.5000 0.5000 0.7265
Mo 0.0000 0.0000 0.0915
CELL_PARAMETERS angstrom
3.1548 0.0000 0.0000
0.0000 3.1548 0.0000
0.0000 0.0000 8.6807


Repeat the sixth record exactly.
! TlGaSb2 | Alexandria | PBE | optimized geometry; values from VASP
! - energy relative to the elements, uncorrected (meV per atom) = 94.8
! - D(E_F) (states/eV per cell) = 2.15
! - offset from the most stable computed form (eV/f.u.) = 0.42
! - total magnetic moment (μB/cell) = 0.0
! - DFT total energy (eV/atom) = -3.31
&SYSTEM
  ibrav = 0, nat = 4, ntyp = 3
/
ATOMIC_SPECIES
Tl 204.38 Tl.upf
Ga 69.72 Ga.upf
Sb 121.76 Sb.upf
ATOMIC_POSITIONS crystal
Tl 0.5000 0.5000 0.5000
Ga 0.5000 0.5000 0.0000
Sb 0.0000 0.0000 0.8006
Sb 0.0000 0.0000 0.1994
CELL_PARAMETERS angstrom
3.8082 0.0000 0.0000
0.0000 3.8082 0.0000
0.0000 0.0000 7.5249